! Pr2ErAg, relaxed, DFT GGA-PBE; values from VASP
&SYSTEM
  ibrav = 0, nat = 4, ntyp = 3
/
ATOMIC_SPECIES
Er 167.26 Er.upf
Pr 140.91 Pr.upf
Ag 107.87 Ag.upf
CELL_PARAMETERS angstrom
-3.345 1.229 1.117
0.572 -1.505 3.369
3.655 7.478 2.720
ATOMIC_POSITIONS angstrom
Er 0.441 3.601 3.603
Pr 2.846 5.824 2.119
Pr 0.808 1.654 0.602
Ag -1.386 -0.138 2.243
! electronic total energy = -17.322 eV/cell
! ΔE to the lowest computed polymorph = 0 meV/atom
! SG = P4/mmm
! DFT formation energy = -0.087 eV/atom
! DOS at the Fermi energy = 1.75 states/eV per atom



! Mg2ScTa3N6, relaxed, DFT GGA-PBE; values from VASP
&SYSTEM
  ibrav = 0, nat = 12, ntyp = 4
/
ATOMIC_SPECIES
Sc 44.96 Sc.upf
N 14.01 N.upf
Ta 180.95 Ta.upf
Mg 24.30 Mg.upf
CELL_PARAMETERS angstrom
5.335 -0.002 0.000
-2.668 4.620 0.000
-0.889 -1.539 5.214
ATOMIC_POSITIONS angstrom
Sc 0.000 0.000 0.000
N -0.902 1.556 1.314
N 1.768 3.062 1.361
N 1.799 -0.004 1.314
N -0.021 3.082 3.902
N 2.680 1.522 3.902
N 0.010 0.016 3.854
Ta -1.727 3.050 2.608
Ta 3.505 0.028 2.608
Ta 0.889 1.539 2.608
Mg 2.662 1.541 0.000
Mg 0.005 3.076 0.000
! uncorrected formation energy = -1.240 eV per atom
! electronic total energy = -109.910 eV/cell
! SG = C2/m
! DOS at the Fermi energy = 0.30 states/eV per atom